Record 1
DFT (PBE) results for a relaxed structure of NaCeY4O8.

Calculated values
* energy relative to the elements, uncorrected: -3182 meV/atom
* calculated volume: 232 Å³/f.u.
* crystal system: trigonal

```
data_NaCeY4O8
_chemical_formula_sum 'Na3 Ce3 Y12 O24'
_cell_length_a 6.8619
_cell_length_b 6.8619
_cell_length_c 17.0950
_cell_angle_alpha 90.00
_cell_angle_beta 90.00
_cell_angle_gamma 120.00
_space_group_name_H-M_alt 'R 3 m'
_space_group_IT_number 160
_space_group_name_Hall 'R 3 -2"'
loop_
_atom_site_label
_atom_site_type_symbol
_atom_site_fract_x
_atom_site_fract_y
_atom_site_fract_z
Na1 Na 0.0000 0.0000 0.0000
Ce1 Ce 0.0000 0.0000 0.6259
Y1 Y 0.0000 0.0000 0.2490
Y2 Y 0.1703 0.3405 0.4567
O1 O 0.0000 0.0000 0.3812
O2 O 0.0000 0.0000 0.8571
O3 O 0.0429 0.5215 0.3816
O4 O 0.1735 0.3470 0.2020
```

=====

Record 2
DFT (PBE) results for a relaxed structure of Na2CeYO4.

Calculated values
* energy relative to the elements, uncorrected: -2669 meV/atom
* calculated volume: 120 Å³/f.u.
* crystal system: monoclinic

```
data_Na2CeYO4
_chemical_formula_sum 'Na2 Ce1 Y1 O4'
_cell_length_a 5.9716
_cell_length_b 3.5096
_cell_length_c 6.0901
_cell_angle_alpha 90.00
_cell_angle_beta 109.84
_cell_angle_gamma 90.00
_space_group_name_H-M_alt 'P 1 2/m 1'
_space_group_IT_number 10
loop_
_space_group_symop_operation_xyz
'x,y,z'
'-x,-y,-z'
'-x,y,-z'
'x,-y,z'
loop_
_atom_site_label
_atom_site_type_symbol
_atom_site_fract_x
_atom_site_fract_y
_atom_site_fract_z
Na1 Na 0.0000 0.0000 0.0000
Na2 Na 0.0000 0.5000 0.5000
Ce1 Ce 0.5000 0.0000 0.5000
Y1 Y 0.5000 0.5000 0.0000
O1 O 0.2842 0.5000 0.2531
O2 O 0.2875 0.0000 0.7693
```

=====

Record 3
DFT (PBE) results for a relaxed structure of Na3Ce3ZnO8.

Calculated values
* energy relative to the elements, uncorrected: -2473 meV/atom
* calculated volume: 230 Å³/f.u.
* crystal system: trigonal

```
data_Na3Ce3ZnO8
_chemical_formula_sum 'Na9 Ce9 Zn3 O24'
_cell_length_a 6.9312
_cell_length_b 6.9312
_cell_length_c 16.6098
_cell_angle_alpha 90.00
_cell_angle_beta 90.00
_cell_angle_gamma 120.00
_space_group_name_H-M_alt 'R -3 m'
_space_group_IT_number 166
_space_group_name_Hall '-R 3 2"'
loop_
_atom_site_label
_atom_site_type_symbol
_atom_site_fract_x
_atom_site_fract_y
_atom_site_fract_z
Na1 Na 0.0000 0.5000 0.0000
Ce1 Ce 0.0000 0.5000 0.5000
Zn1 Zn 0.0000 0.0000 0.5000
O1 O 0.0000 0.0000 0.2399
O2 O 0.0069 0.5034 0.2326
```

=====

Record 4
DFT (PBE) results for a relaxed structure of NaCeOs.

Calculated values
* calculated volume: 88 Å³/f.u.
* energy of formation from the pure elements: 320 meV/atom
* crystal system: trigonal

```
data_NaCeOs
_chemical_formula_sum 'Na6 Ce6 Os6'
_cell_length_a 3.7489
_cell_length_b 3.7489
_cell_length_c 43.4373
_cell_angle_alpha 90.00
_cell_angle_beta 90.00
_cell_angle_gamma 120.00
_space_group_name_H-M_alt 'R -3 m'
_space_group_IT_number 166
_space_group_name_Hall '-R 3 2"'
loop_
_atom_site_label
_atom_site_type_symbol
_atom_site_fract_x
_atom_site_fract_y
_atom_site_fract_z
Na1 Na 0.0000 0.0000 0.2017
Ce1 Ce 0.0000 0.0000 0.3894
Os1 Os 0.0000 0.0000 0.3166
```

=====

Record 5
DFT (PBE) results for a relaxed structure of NaCeP.

Calculated values
* calculated volume: 80 Å³/f.u.
* energy of formation from the pure elements: -606 meV/atom
* crystal system: trigonal

```
data_NaCeP
_chemical_formula_sum 'Na6 Ce6 P6'
_cell_length_a 4.7337
_cell_length_b 4.7337
_cell_length_c 24.8460
_cell_angle_alpha 90.00
_cell_angle_beta 90.00
_cell_angle_gamma 120.00
_space_group_name_H-M_alt 'R -3 m'
_space_group_IT_number 166
_space_group_name_Hall '-R 3 2"'
loop_
_atom_site_label
_atom_site_type_symbol
_atom_site_fract_x
_atom_site_fract_y
_atom_site_fract_z
Na1 Na 0.0000 0.0000 0.1346
Ce1 Ce 0.0000 0.0000 0.3778
P1 P 0.0000 0.0000 0.2540
```

=====

Record 6
DFT (PBE) results for a relaxed structure of NaCe4P5.

Calculated values
* calculated volume: 245 Å³/f.u.
* energy of formation from the pure elements: -1208 meV/atom
* crystal system: orthorhombic

```
data_NaCe4P5
_chemical_formula_sum 'Na2 Ce8 P10'
_cell_length_a 4.1224
_cell_length_b 5.7450
_cell_length_c 20.6686
_cell_angle_alpha 90.00
_cell_angle_beta 90.00
_cell_angle_gamma 90.00
_space_group_name_H-M_alt 'I m m m'
_space_group_IT_number 71
_space_group_name_Hall '-I 2 2'
loop_
_atom_site_label
_atom_site_type_symbol
_atom_site_fract_x
_atom_site_fract_y
_atom_site_fract_z
Na1 Na 0.0000 0.0000 0.0000
Ce1 Ce 0.0000 0.0000 0.2010
Ce2 Ce 0.0000 0.0000 0.4031
P1 P 0.0000 0.5000 0.0000
P2 P 0.0000 0.5000 0.1973
P3 P 0.0000 0.5000 0.3893
```